# PBE NdSi3Rh, relaxed
data_NdSi3Rh
_symmetry_space_group_name_H-M 'I 4 m m'
_symmetry_Int_Tables_number 107
_symmetry_space_group_name_Hall 'I 4 -2'
_cell_length_a 4.242
_cell_length_b 4.242
_cell_length_c 9.845
_cell_angle_alpha 90.00
_cell_angle_beta 90.00
_cell_angle_gamma 90.00
loop_
_atom_site_label
_atom_site_type_symbol
_atom_site_fract_x
_atom_site_fract_y
_atom_site_fract_z
_atom_site_occupancy
Nd1 Nd 0.000 0.000 0.000 1
Si1 Si 0.000 0.000 0.414 1
Si2 Si 0.000 0.500 0.263 1
Rh1 Rh 0.000 0.000 0.654 1
# formation energy without anion corrections	-800.5	meV/atom
# DOS(E_F)	0.32	states/eV/atom
# E	-64.78	eV/cell
# crystal system	tetragonal